Entry 1:
The following is a DFT calculation (PBE) of Rb3AgBr6 after structural relaxation.

## Properties
E = -2.57 eV per atom

a = 8.2234 Å, b = 8.2234 Å, c = 8.2234 Å
α = 60.00°, β = 60.00°, γ = 60.00°
Closest atoms and distances in Å follow each position.
Fractional coordinates of all 10 atoms:
Rb 0.7500 0.7500 0.7500  12 Br 4.12
Rb 0.5000 0.5000 0.5000  6 Br 3.16
Br 0.7718 0.2282 0.2282  1 Ag 2.65
Br 0.2282 0.7718 0.7718  1 Ag 2.65
Br 0.2282 0.2282 0.7718  1 Ag 2.65
Br 0.7718 0.2282 0.7718  1 Ag 2.65
Ag 0.0000 0.0000 0.0000  6 Br 2.65
Br 0.7718 0.7718 0.2282  1 Ag 2.65
Br 0.2282 0.7718 0.2282  1 Ag 2.65
Rb 0.2500 0.2500 0.2500  12 Br 4.12

***

Entry 2:
The following is a DFT calculation (PBE) of Rb2AgSnBr6 after structural relaxation.

## Properties
E = -2.95 eV per atom
excess energy over the best structure of this formula in the dataset = 0.01 eV/f.u.

a = 7.8882 Å, b = 7.8882 Å, c = 7.8882 Å
α = 121.18°, β = 121.18°, γ = 87.96°
Closest atoms and distances in Å follow each position.
Fractional coordinates of all 10 atoms:
Br 0.6975 0.1995 0.8970  1 Ag 2.79, 1 Sn 2.81
Ag 0.5000 0.5000 0.0000  6 Br 2.79-2.86
Br 0.7521 0.7521 0.0000  1 Sn 2.81, 1 Ag 2.86
Br 0.3025 0.8005 0.1030  1 Ag 2.79, 1 Sn 2.81
Rb 0.2500 0.7500 0.5000  8 Br 3.58-3.87
Br 0.8005 0.6975 0.4979  1 Ag 2.79, 1 Sn 2.81
Rb 0.7500 0.2500 0.5000  8 Br 3.58-3.87
Br 0.1995 0.3025 0.5021  1 Ag 2.79, 1 Sn 2.81
Sn 0.0000 0.0000 0.0000  6 Br 2.81
Br 0.2479 0.2479 0.0000  1 Sn 2.81, 1 Ag 2.86

***

Entry 3:
The following is a DFT calculation (PBE) of Rb2AgSnBr6 after structural relaxation.

## Properties
E = -2.95 eV per atom
excess energy over the best structure of this formula in the dataset = 0.03 eV/f.u.

a = 7.8846 Å, b = 7.8846 Å, c = 7.8846 Å
α = 60.00°, β = 60.00°, γ = 60.00°
Closest atoms and distances in Å follow each position.
Fractional coordinates of all 10 atoms:
Sn 0.5000 0.5000 0.5000  6 Br 2.80
Br 0.2493 0.7507 0.2493  1 Ag 2.78, 1 Sn 2.80
Br 0.7507 0.2493 0.7507  1 Ag 2.78, 1 Sn 2.80
Br 0.7507 0.7507 0.2493  1 Ag 2.78, 1 Sn 2.80
Rb 0.2500 0.2500 0.2500  12 Br 3.94
Ag 0.0000 0.0000 0.0000  6 Br 2.78
Rb 0.7500 0.7500 0.7500  12 Br 3.94
Br 0.7507 0.2493 0.2493  1 Ag 2.78, 1 Sn 2.80
Br 0.2493 0.2493 0.7507  1 Ag 2.78, 1 Sn 2.80
Br 0.2493 0.7507 0.7507  1 Ag 2.78, 1 Sn 2.80

***

Entry 4:
The following is a DFT calculation (PBE) of Rb2AgSnBr6 after structural relaxation.

## Properties
E = -2.95 eV per atom
excess energy over the best structure of this formula in the dataset = 0.00 eV/f.u.

a = 7.7873 Å, b = 7.8500 Å, c = 13.5581 Å
α = 90.00°, β = 125.00°, γ = 90.00°
Closest atoms and distances in Å follow each position.
Fractional coordinates of all 20 atoms:
Br 0.3210 0.2893 0.0318  1 Sn 2.82, 1 Ag 2.82
Rb 0.2616 0.4505 0.7510  8 Br 3.53-3.80
Br 0.7638 0.2091 0.9723  1 Ag 2.82, 1 Sn 2.82
Br 0.6790 0.7107 0.9682  1 Sn 2.82, 1 Ag 2.82
Sn 0.0000 0.0000 0.5000  6 Br 2.81-2.82
Br 0.1918 0.0006 0.7498  1 Sn 2.81, 1 Ag 2.82
Ag 0.5000 0.5000 0.5000  6 Br 2.82
Br 0.2362 0.7909 0.0277  1 Ag 2.82, 1 Sn 2.82
Br 0.3210 0.2107 0.5318  1 Sn 2.82, 1 Ag 2.82
Br 0.1918 0.4994 0.2498  1 Sn 2.81, 1 Ag 2.82
Br 0.8082 0.9994 0.2502  1 Sn 2.81, 1 Ag 2.82
Rb 0.2616 0.0495 0.2510  8 Br 3.53-3.80
Rb 0.7384 0.9505 0.7490  8 Br 3.53-3.80
Ag 0.5000 0.0000 0.0000  6 Br 2.82
Br 0.7638 0.2909 0.4723  1 Ag 2.82, 1 Sn 2.82
Br 0.2362 0.7091 0.5277  1 Ag 2.82, 1 Sn 2.82
Rb 0.7384 0.5495 0.2490  8 Br 3.53-3.80
Br 0.6790 0.7893 0.4682  1 Sn 2.82, 1 Ag 2.82
Br 0.8082 0.5006 0.7502  1 Sn 2.81, 1 Ag 2.82
Sn 0.0000 0.5000 0.0000  6 Br 2.81-2.82

***

Entry 5:
The following is a DFT calculation (PBE) of Rb2AgSnBr6 after structural relaxation.

## Properties
E = -2.95 eV per atom
excess energy over the best structure of this formula in the dataset = 0.03 eV/f.u.

a = 7.8900 Å, b = 7.8900 Å, c = 7.8893 Å
α = 119.96°, β = 119.96°, γ = 60.04°
Closest atoms and distances in Å follow each position.
Fractional coordinates of all 10 atoms:
Ag 0.5000 0.5000 0.5000  6 Br 2.78
Rb 0.2502 0.2502 0.7500  12 Br 3.93-3.96
Br 0.2497 0.7487 0.2500  1 Ag 2.78, 1 Sn 2.80
Br 0.7503 0.2513 0.7500  1 Ag 2.78, 1 Sn 2.80
Br 0.2513 0.7503 0.7500  1 Ag 2.78, 1 Sn 2.80
Sn 0.0000 0.0000 0.0000  6 Br 2.80
Br 0.2506 0.2506 0.2518  1 Ag 2.78, 1 Sn 2.80
Br 0.7494 0.7494 0.7482  1 Ag 2.78, 1 Sn 2.80
Br 0.7487 0.2497 0.2500  1 Ag 2.78, 1 Sn 2.80
Rb 0.7498 0.7498 0.2500  12 Br 3.93-3.96

***

Entry 6:
The following is a DFT calculation (PBE) of Rb2AgSnBr6 after structural relaxation.

## Properties
E = -2.95 eV per atom
excess energy over the best structure of this formula in the dataset = 0.03 eV/f.u.

a = 7.8923 Å, b = 7.8923 Å, c = 7.8923 Å
α = 59.94°, β = 59.94°, γ = 59.94°
Closest atoms and distances in Å follow each position.
Fractional coordinates of all 10 atoms:
Br 0.2491 0.2522 0.7495  1 Ag 2.78, 1 Sn 2.80
Rb 0.7499 0.7499 0.7499  12 Br 3.93-3.95
Br 0.7478 0.2505 0.7509  1 Ag 2.78, 1 Sn 2.80
Sn 0.0000 0.0000 0.0000  6 Br 2.80
Rb 0.2501 0.2501 0.2501  12 Br 3.93-3.95
Br 0.2505 0.7509 0.7478  1 Ag 2.78, 1 Sn 2.80
Ag 0.5000 0.5000 0.5000  6 Br 2.78
Br 0.2522 0.7495 0.2491  1 Ag 2.78, 1 Sn 2.80
Br 0.7495 0.2491 0.2522  1 Ag 2.78, 1 Sn 2.80
Br 0.7509 0.7478 0.2505  1 Ag 2.78, 1 Sn 2.80

***

Entry 7:
The following is a DFT calculation (PBE) of Rb2AgSnBr6 after structural relaxation.

## Properties
E = -2.95 eV per atom
excess energy over the best structure of this formula in the dataset = 0.01 eV/f.u.

a = 7.7783 Å, b = 7.7907 Å, c = 11.2927 Å
α = 89.84°, β = 89.77°, γ = 89.97°
Closest atoms and distances in Å follow each position.
Fractional coordinates of all 20 atoms:
Br 0.1464 0.2529 0.4976  1 Ag 2.81, 1 Sn 2.82
Ag 0.9500 0.9499 0.5000  6 Br 2.81-2.83
Br 0.6570 0.7401 0.9971  1 Ag 2.78, 1 Sn 2.80
Br 0.7399 0.2427 0.0082  1 Ag 2.77, 1 Sn 2.81
Br 0.7537 0.6470 0.5024  1 Ag 2.81, 1 Sn 2.82
Rb 0.4479 0.9462 0.2464  7 Br 3.55-3.94
Sn 0.4499 0.4499 0.5000  6 Br 2.81-2.82
Br 0.2430 0.1599 0.0029  1 Ag 2.78, 1 Sn 2.81
Rb 0.9522 0.4535 0.2464  7 Br 3.57-3.94
Sn 0.9499 0.9499 0.0000  6 Br 2.80-2.82
Rb 0.9479 0.4466 0.7536  7 Br 3.57-3.93
Br 0.9543 0.9371 0.2495  1 Sn 2.82, 1 Ag 2.83
Ag 0.4500 0.4500 0.0000  6 Br 2.77-2.84
Rb 0.4523 0.9540 0.7536  7 Br 3.56-3.94
Br 0.2528 0.7534 0.5074  1 Ag 2.81, 1 Sn 2.82
Br 0.1601 0.6573 0.9918  1 Ag 2.77, 1 Sn 2.81
Br 0.6472 0.1466 0.4926  1 Ag 2.81, 1 Sn 2.82
Br 0.4462 0.4623 0.2514  1 Sn 2.81, 1 Ag 2.84
Br 0.4537 0.4377 0.7486  1 Sn 2.81, 1 Ag 2.84
Br 0.9457 0.9629 0.7505  1 Sn 2.82, 1 Ag 2.83

***

Entry 8:
The following is a DFT calculation (PBE) of Rb2SrAgBr6 after structural relaxation.

## Properties
E = -2.98 eV per atom

a = 8.0659 Å, b = 8.0659 Å, c = 8.0659 Å
α = 60.00°, β = 60.00°, γ = 60.00°
Closest atoms and distances in Å follow each position.
Fractional coordinates of all 10 atoms:
Rb 0.2500 0.2500 0.2500  12 Br 4.03
Br 0.7594 0.2406 0.7594  1 Ag 2.74, 1 Sr 2.96
Br 0.2406 0.7594 0.2406  1 Ag 2.74, 1 Sr 2.96
Sr 0.5000 0.5000 0.5000  6 Br 2.96
Ag 0.0000 0.0000 0.0000  6 Br 2.74
Br 0.2406 0.7594 0.7594  1 Ag 2.74, 1 Sr 2.96
Rb 0.7500 0.7500 0.7500  12 Br 4.03
Br 0.7594 0.7594 0.2406  1 Ag 2.74, 1 Sr 2.96
Br 0.2406 0.2406 0.7594  1 Ag 2.74, 1 Sr 2.96
Br 0.7594 0.2406 0.2406  1 Ag 2.74, 1 Sr 2.96

***

Entry 9:
The following is a DFT calculation (PBE) of Rb2TlAgBr6 after structural relaxation.

## Properties
E = -2.69 eV per atom
excess energy over the best structure of this formula in the dataset = 0.13 eV/f.u.

a = 7.8968 Å, b = 7.8968 Å, c = 7.8968 Å
α = 59.90°, β = 59.90°, γ = 59.90°
Closest atoms and distances in Å follow each position.
Fractional coordinates of all 10 atoms:
Br 0.2456 0.7532 0.2488  1 Ag 2.76, 1 Tl 2.82
Rb 0.2502 0.2502 0.2502  12 Br 3.93-3.96
Ag 0.0000 0.0000 0.0000  6 Br 2.76
Br 0.7512 0.7544 0.2468  1 Ag 2.76, 1 Tl 2.82
Br 0.2468 0.7512 0.7544  1 Ag 2.76, 1 Tl 2.82
Br 0.2488 0.2456 0.7532  1 Ag 2.76, 1 Tl 2.82
Rb 0.7498 0.7498 0.7498  12 Br 3.93-3.96
Br 0.7544 0.2468 0.7512  1 Ag 2.76, 1 Tl 2.82
Tl 0.5000 0.5000 0.5000  6 Br 2.82
Br 0.7532 0.2488 0.2456  1 Ag 2.76, 1 Tl 2.82

***

Entry 10:
The following is a DFT calculation (PBE) of Rb2TlAgBr6 after structural relaxation.

## Properties
E = -2.69 eV per atom
excess energy over the best structure of this formula in the dataset = 0.13 eV/f.u.

a = 7.8906 Å, b = 7.8906 Å, c = 7.8906 Å
α = 60.00°, β = 60.00°, γ = 60.00°
Closest atoms and distances in Å follow each position.
Fractional coordinates of all 10 atoms:
Rb 0.7500 0.7500 0.7500  12 Br 3.95
Br 0.2472 0.2472 0.7528  1 Ag 2.76, 1 Tl 2.82
Br 0.7528 0.7528 0.2472  1 Ag 2.76, 1 Tl 2.82
Rb 0.2500 0.2500 0.2500  12 Br 3.95
Br 0.2472 0.7528 0.7528  1 Ag 2.76, 1 Tl 2.82
Br 0.7528 0.2472 0.7528  1 Ag 2.76, 1 Tl 2.82
Tl 0.5000 0.5000 0.5000  6 Br 2.82
Ag 0.0000 0.0000 0.0000  6 Br 2.76
Br 0.2472 0.7528 0.2472  1 Ag 2.76, 1 Tl 2.82
Br 0.7528 0.2472 0.2472  1 Ag 2.76, 1 Tl 2.82

***

Entry 11:
The following is a DFT calculation (PBE) of Rb2TlAgBr6 after structural relaxation.

## Properties
E = -2.70 eV per atom
excess energy over the best structure of this formula in the dataset = 0.04 eV/f.u.

a = 7.8953 Å, b = 7.8953 Å, c = 7.8953 Å
α = 121.57°, β = 121.57°, γ = 87.31°
Closest atoms and distances in Å follow each position.
Fractional coordinates of all 10 atoms:
Ag 0.0000 0.0000 0.0000  6 Br 2.78-2.87
Br 0.7485 0.7485 0.0000  1 Tl 2.84, 1 Ag 2.87
Br 0.8126 0.6922 0.5048  1 Ag 2.78, 1 Tl 2.83
Br 0.3078 0.8126 0.1204  1 Ag 2.78, 1 Tl 2.83
Br 0.6922 0.1874 0.8796  1 Ag 2.78, 1 Tl 2.83
Rb 0.7500 0.2500 0.5000  8 Br 3.53-3.85
Br 0.2515 0.2515 0.0000  1 Tl 2.84, 1 Ag 2.87
Rb 0.2500 0.7500 0.5000  8 Br 3.53-3.85
Br 0.1874 0.3078 0.4952  1 Ag 2.78, 1 Tl 2.83
Tl 0.5000 0.5000 0.0000  6 Br 2.83-2.84

***

Entry 12:
The following is a DFT calculation (PBE) of Rb2TlAgBr6 after structural relaxation.

## Properties
E = -2.70 eV per atom
excess energy over the best structure of this formula in the dataset = 0.04 eV/f.u.

a = 7.7639 Å, b = 7.7639 Å, c = 8.0684 Å
α = 120.17°, β = 120.17°, γ = 60.19°
Closest atoms and distances in Å follow each position.
Fractional coordinates of all 10 atoms:
Br 0.7944 0.2911 0.2970  1 Tl 2.82, 1 Ag 2.87
Tl 0.5000 0.5000 0.5000  6 Br 2.82-2.88
Br 0.2447 0.2447 0.1648  1 Ag 2.74, 1 Tl 2.88
Br 0.2911 0.7944 0.2970  1 Tl 2.82, 1 Ag 2.87
Rb 0.7501 0.7501 0.2558  5 Br 3.43-3.58
Ag 0.0000 0.0000 0.0000  6 Br 2.74-2.87
Br 0.7553 0.7553 0.8352  1 Ag 2.74, 1 Tl 2.88
Br 0.2056 0.7089 0.7030  1 Tl 2.82, 1 Ag 2.87
Rb 0.2499 0.2499 0.7442  5 Br 3.43-3.58
Br 0.7089 0.2056 0.7030  1 Tl 2.82, 1 Ag 2.87